DFT (PBE+U) results for TaVO2 after structural relaxation.

Results
The value obtained for the density of states at the Fermi level is 9.26 states/eV per cell. The energy above the lowest structure with this stoichiometry comes out at 0 meV per atom. The value obtained for the total energy is -8.91 eV/atom.

a = 3.2054 Å, b = 3.2054 Å, c = 18.1689 Å
α = 90.00°, β = 90.00°, γ = 120.00°
With the nearest neighbours (Å) after each atom.
Space group R-3m (No. 166, hexagonal axes)
Unique sites:
Ta 0.0000 0.0000 0.0000 [3 per cell]  2 O 1.94
V 0.0000 0.0000 0.5000 [3 per cell]  6 O 2.15
O 0.0000 0.0000 0.1070 [6 per cell]  1 Ta 1.94, 3 V 2.15